No. 1
Computed, not measured: a crystal of BaBe3Hg relaxed with PBEsol at the SCAN level of DFT.

Unit cell a=4.6117 b=4.6117 c=4.6117 alpha=90.00 beta=90.00 gamma=90.00
Space group Pm-3m (No. 221)
Unique sites:
1 Ba 0.0000 0.0000 0.0000
2 Be 0.0000 0.5000 0.5000
3 Hg 0.5000 0.5000 0.5000

For the energy of formation, the calculation gives 397.3 meV/atom. The calculation puts the total DFT energy (no corrections) at -118.8 eV/cell. Its crystal system is cubic. For the density of states at the Fermi level, the calculation gives 0.95 states/eV/cell.



No. 2
Computed, not measured: a crystal of SiAs2Br relaxed with PBEsol at the SCAN level of DFT.

Unit cell a=3.7963 b=3.7963 c=5.7471 alpha=90.00 beta=90.00 gamma=90.00
Space group P4/mmm (No. 123)
Unique sites:
1 Si 0.0000 0.0000 0.0000
2 As 0.0000 0.5000 0.5000
3 Br 0.5000 0.5000 0.0000

The calculation puts the formation energy from raw total energies at 660 meV per atom. The calculation puts the total DFT energy (no corrections) at -67.2 eV/cell. Its crystal system is tetragonal. For the density of states at the Fermi level, the calculation gives 2.01 states/eV/cell.



No. 3
Computed, not measured: a crystal of Li3In relaxed with PBEsol at the SCAN level of DFT.

Unit cell a=3.1586 b=4.7810 c=4.7943 alpha=90.00 beta=90.00 gamma=90.00
Space group Pmm2 (No. 25)
Unique sites:
1 Li 0.0000 0.0000 0.0000
2 Li 0.0000 0.5000 0.4620
3 Li 0.5000 0.5000 0.9554
4 In 0.5000 0.0000 0.5007

For the energy of formation, the calculation gives -270.8 meV/atom. The calculation puts the total DFT energy (no corrections) at -41.6 eV/cell. Its crystal system is orthorhombic. The value obtained for the offset from the most stable computed form is 45 meV per atom. For the density of states at the Fermi level, the calculation gives 1.23 states/eV/cell.



Number 1 is which compound? BaBe3Hg



Which value of total DFT energy (no corrections) does entry 1 give? -118.8 eV/cell



What is the total DFT energy (no corrections) in the third record? -41.6 eV/cell



What is the total DFT energy (no corrections) in the second record? -67.2 eV/cell